[1]
Compound: Pr4TmAs5
Source: Alexandria
Functional: PBE-GGA
Structure: relaxed

Results
SG	I4/m
DFT total energy	-61.681	eV for the cell shown

Cell lengths 6.036, 7.382, 7.382 Å; angles 80.38, 65.87, 65.87 degrees
Fractional positions:
Pr: 0.403 0.398 0.798
Pr: 0.801 0.798 0.602
Pr: 0.201 0.202 0.398
Pr: 0.599 0.602 0.202
Tm: 0.001 0.000 0.000
As: 0.903 0.390 0.805
As: 0.293 0.805 0.610
As: 0.709 0.195 0.390
As: 0.099 0.610 0.195
As: 0.501 0.000 0.000

=====

[2]
Compound: Pr2Y3TmAs6
Source: Alexandria
Functional: PBE-GGA
Structure: relaxed

Results
SG	C2/m
DFT total energy	-79.503	eV for the cell shown

Cell lengths 4.180, 8.353, 9.340 Å; angles 102.92, 102.93, 90.00 degrees
Fractional positions:
Pr: 0.835 0.669 0.669
Pr: 0.165 0.331 0.331
Y: 0.500 0.500 0.000
Y: 0.833 0.166 0.665
Y: 0.167 0.834 0.335
Tm: 0.500 0.000 0.000
As: 0.335 0.925 0.670
As: 0.664 0.589 0.329
As: 0.665 0.075 0.330
As: 0.997 0.245 0.994
As: 0.003 0.755 0.006
As: 0.336 0.411 0.671

=====

[3]
Compound: Pr2YTm3As6
Source: Alexandria
Functional: PBE-GGA
Structure: relaxed

Results
SG	C2/m
DFT total energy	-75.304	eV for the cell shown

Cell lengths 4.160, 8.310, 9.292 Å; angles 102.86, 102.94, 90.00 degrees
Fractional positions:
Pr: 0.834 0.668 0.669
Pr: 0.166 0.332 0.331
Y: 0.500 0.000 0.000
Tm: 0.500 0.500 0.000
Tm: 0.833 0.166 0.666
Tm: 0.167 0.834 0.334
As: 0.333 0.927 0.666
As: 0.663 0.592 0.327
As: 0.667 0.073 0.334
As: 0.996 0.251 0.992
As: 0.004 0.749 0.008
As: 0.337 0.408 0.673

=====

[4]
Compound: PrYTm2As4
Source: Alexandria
Functional: PBE-GGA
Structure: relaxed

Results
SG	P2/m
DFT total energy	-50.814	eV for the cell shown

Cell lengths 4.145, 7.170, 7.174 Å; angles 70.51, 90.00, 90.00 degrees
Fractional positions:
Pr: 0.500 0.500 0.000
Y: 0.000 0.500 0.500
Tm: 0.000 0.000 0.000
Tm: 0.500 0.000 0.500
As: 0.000 0.762 0.741
As: 0.000 0.238 0.259
As: 0.500 0.758 0.252
As: 0.500 0.242 0.748

=====

[5]
Compound: Pr2TmZrAs4
Source: Alexandria
Functional: PBE-GGA
Structure: relaxed

Results
SG	P2/m
DFT total energy	-52.364	eV for the cell shown

Cell lengths 4.121, 7.138, 7.160 Å; angles 109.28, 90.00, 90.00 degrees
Fractional positions:
Pr: 0.500 0.000 0.500
Pr: 0.000 0.500 0.500
Tm: 0.500 0.500 0.000
Zr: 0.000 0.000 0.000
As: 0.500 0.237 0.227
As: 0.500 0.763 0.773
As: 0.000 0.251 0.770
As: 0.000 0.749 0.230

=====

[6]
Compound: Pr2UAs3
Source: Alexandria
Functional: PBE-GGA
Structure: relaxed

Results
SG	Fmmm
DFT total energy	-42.151	eV for the cell shown

Cell lengths 4.236, 4.236, 9.443 Å; angles 102.94, 102.94, 90.09 degrees
Fractional positions:
Pr: 0.102 0.103 0.209
Pr: 0.767 0.768 0.539
U: 0.434 0.436 0.874
As: 0.934 0.936 0.874
As: 0.273 0.274 0.551
As: 0.596 0.597 0.197

=====

[7]
Compound: PrU5As6
Source: Alexandria
Functional: PBE-GGA
Structure: relaxed

Results
SG	C2/m
DFT total energy	-99.164	eV for the cell shown

Cell lengths 7.159, 7.159, 7.126 Å; angles 99.65, 99.65, 120.08 degrees
Fractional positions:
Pr: 0.000 0.000 0.000
As: 0.426 0.085 0.255
As: 0.915 0.574 0.745
As: 0.257 0.257 0.747
As: 0.743 0.743 0.253
As: 0.085 0.426 0.255
As: 0.574 0.915 0.745
U: 0.836 0.164 0.500
U: 0.667 0.333 0.000
U: 0.500 0.500 0.500
U: 0.333 0.667 0.000
U: 0.164 0.836 0.500

=====

[8]
Compound: Pr4UAs5
Source: Alexandria
Functional: PBE-GGA
Structure: relaxed

Results
SG	I4/m
DFT total energy	-67.074	eV for the cell shown

Cell lengths 6.024, 7.372, 7.372 Å; angles 80.39, 65.89, 65.89 degrees
Fractional positions:
Pr: 0.404 0.398 0.796
Pr: 0.802 0.796 0.602
Pr: 0.200 0.204 0.398
Pr: 0.598 0.602 0.204
U: 0.001 0.000 0.000
As: 0.905 0.384 0.807
As: 0.289 0.807 0.616
As: 0.713 0.193 0.384
As: 0.096 0.616 0.193
As: 0.501 0.000 0.000

=====

[9]
Compound: PrU4As5
Source: Alexandria
Functional: PBE-GGA
Structure: relaxed

Results
SG	Immm
DFT total energy	-81.763	eV for the cell shown

Cell lengths 4.090, 5.843, 11.011 Å; angles 105.39, 100.70, 90.00 degrees
Fractional positions:
Pr: 0.000 0.000 0.000
U: 0.400 0.400 0.800
U: 0.797 0.797 0.595
U: 0.203 0.203 0.405
U: 0.600 0.600 0.200
As: 0.605 0.105 0.211
As: 0.801 0.301 0.602
As: 0.199 0.699 0.398
As: 0.000 0.500 0.000
As: 0.395 0.895 0.789

=====

[10]
Compound: PrU3As4
Source: Alexandria
Functional: PBE-GGA
Structure: relaxed

Results
SG	Cmmm
DFT total energy	-64.484	eV for the cell shown

Cell lengths 4.092, 7.205, 7.205 Å; angles 71.19, 90.00, 90.00 degrees
Fractional positions:
Pr: 0.500 0.500 0.000
As: 0.000 0.760 0.740
As: 0.500 0.754 0.254
As: 0.000 0.240 0.260
As: 0.500 0.246 0.746
U: 0.500 0.000 0.500
U: 0.000 0.000 0.000
U: 0.000 0.500 0.500

=====

[11]
Compound: Pr3UAs4
Source: Alexandria
Functional: PBE-GGA
Structure: relaxed

Results
SG	P2/c
DFT total energy	-109.288	eV for the cell shown

Cell lengths 7.330, 7.385, 8.491 Å; angles 90.00, 90.00, 109.51 degrees
Fractional positions:
Pr: 0.750 0.000 0.376
Pr: 0.250 0.000 0.624
Pr: 0.750 0.500 0.623
Pr: 0.750 0.500 0.126
Pr: 0.250 0.500 0.377
Pr: 0.250 0.500 0.874
As: 0.991 0.243 0.634
As: 0.501 0.236 0.882
As: 0.491 0.243 0.366
As: 0.001 0.236 0.118
As: 0.999 0.764 0.882
As: 0.509 0.757 0.634
As: 0.499 0.764 0.118
As: 0.009 0.757 0.366
U: 0.750 0.000 0.876
U: 0.250 0.000 0.124

=====

[12]
Compound: PrVAs3
Source: Alexandria
Functional: PBE-GGA
Structure: relaxed

Results
SG	Pbcm
DFT total energy	-127.005	eV for the cell shown

Cell lengths 5.610, 5.778, 12.662 Å; angles 90.00, 90.00, 90.00 degrees
Fractional positions:
Pr: 0.750 0.497 0.688
Pr: 0.250 0.503 0.312
Pr: 0.750 0.997 0.312
Pr: 0.250 0.003 0.688
V: 0.500 0.250 0.083
V: 0.000 0.750 0.917
V: 0.500 0.750 0.917
V: 0.000 0.250 0.083
As: 0.000 0.250 0.499
As: 0.500 0.750 0.501
As: 0.000 0.750 0.501
As: 0.500 0.250 0.499
As: 0.250 0.111 0.929
As: 0.750 0.889 0.071
As: 0.250 0.611 0.071
As: 0.750 0.389 0.929
As: 0.250 0.505 0.791
As: 0.750 0.495 0.209
As: 0.250 0.005 0.209
As: 0.750 0.995 0.791

=====

no.,Fermi-level density of states (states/eV/cell),ΔH_f (0 K) (eV per atom)
1,0.6,-1.48
2,1.8,-1.52
3,1.8,-1.50
4,0.9,-1.50
5,1.5,-1.40
6,6.2,-1.23
7,30.3,-0.84
8,8.7,-1.34
9,26.3,-0.86
10,15.9,-0.91
11,17.5,-1.30
12,9.2,-0.78